1.
SiSb2As: relaxed, PBE.

a = 4.0233 Å, b = 5.0396 Å, c = 5.0490 Å
α = 69.76°, β = 90.00°, γ = 90.00°
Atoms (fractional coordinates):
Sb: 0.5000 0.2596 0.2618
Sb: 0.0000 0.0005 0.9996
As: 0.5000 0.7161 0.7152
Si: 0.0000 0.5238 0.5234

Properties
Formation energy without anion corrections ... 173 meV per atom
Distance to the lowest polymorph of the same formula ... 10 meV/atom

2.
VNiN: relaxed, PBE.

a = 2.6990 Å, b = 2.6990 Å, c = 5.0002 Å
α = 105.66°, β = 105.66°, γ = 90.00°
Atoms (fractional coordinates):
V: 0.7198 0.7198 0.4397
Ni: 0.9609 0.9609 0.9218
N: 0.1693 0.1693 0.3385

Properties
Formation energy without anion corrections ... -296 meV per atom
Distance to the lowest polymorph of the same formula ... 0 meV/atom

3.
Tl2SiTe5: relaxed, PBE.

a = 6.8742 Å, b = 7.8462 Å, c = 7.8196 Å
α = 121.03°, β = 100.74°, γ = 110.19°
Atoms (fractional coordinates):
Te: 0.8655 0.7943 0.6160
Te: 0.2106 0.1234 0.2946
Te: 0.3199 0.4943 0.0432
Te: 0.0444 0.6416 0.9169
Te: 0.6909 0.2173 0.0800
Si: 0.0080 0.1545 0.0048
Tl: 0.7711 0.0938 0.4319
Tl: 0.3126 0.7038 0.6127

Properties
Formation energy without anion corrections ... -95 meV per atom
Distance to the lowest polymorph of the same formula ... 0 meV/atom

4.
Mg3NiMo: relaxed, PBE.

a = 4.6784 Å, b = 4.6784 Å, c = 4.6784 Å
α = 90.00°, β = 90.00°, γ = 90.00°
Last column: magnetic moment on the atom in μB.
Atoms (fractional coordinates):
Mg: 0.0000 0.0000 0.5000  -0.03
Mg: 0.5000 0.0000 0.0000  -0.02
Mg: 0.0000 0.5000 0.0000  -0.03
Mo: 0.5000 0.5000 0.5000  2.91
Ni: 0.0000 0.0000 0.0000  0.21

Properties
Energy of formation ... 0.727 eV/atom
Distance to the lowest polymorph of the same formula ... 0 meV/atom

5.
Ce4PuSi4: relaxed, PBE.

a = 6.0188 Å, b = 8.0514 Å, c = 8.0514 Å
α = 90.00°, β = 90.00°, γ = 90.00°
Last column: magnetic moment on the atom in μB.
Atoms (fractional coordinates):
Ce: 0.8801 0.9369 0.7070  0.07
Ce: 0.3801 0.7930 0.4369  0.07
Ce: 0.8801 0.0631 0.2930  0.07
Ce: 0.6199 0.5631 0.7930  0.07
Ce: 0.3801 0.2070 0.5631  0.07
Ce: 0.1199 0.2930 0.9369  0.07
Ce: 0.1199 0.7070 0.0631  0.07
Ce: 0.6199 0.4369 0.2070  0.07
Si: 0.3877 0.0758 0.1878  0.00
Si: 0.6123 0.8122 0.0758  0.00
Si: 0.6123 0.1878 0.9242  0.00
Si: 0.8877 0.6878 0.4242  0.00
Si: 0.8877 0.3122 0.5758  0.00
Si: 0.1123 0.4242 0.3122  0.00
Si: 0.1123 0.5758 0.6878  0.00
Si: 0.3877 0.9242 0.8122  0.00
Pu: 0.5000 0.5000 0.5000  3.26
Pu: 0.0000 0.0000 0.0000  3.26

Properties
Formation energy without anion corrections ... -389 meV per atom

6.
Y2TaMn: relaxed, PBE.

a = 10.2625 Å, b = 10.2625 Å, c = 10.2625 Å
α = 18.21°, β = 18.21°, γ = 18.21°
Last column: magnetic moment on the atom in μB.
Atoms (fractional coordinates):
Y: 0.9980 0.9980 0.9980  -0.10
Y: 0.5020 0.5020 0.5020  -0.10
Ta: 0.7500 0.7500 0.7500  -0.03
Mn: 0.2500 0.2500 0.2500  3.57

Properties
Energy of formation ... 0.511 eV/atom
Distance to the lowest polymorph of the same formula ... 354 meV/atom

7.
Tl2Pd3Pt: relaxed, PBE.

a = 4.1538 Å, b = 8.0717 Å, c = 7.8555 Å
α = 120.91°, β = 105.33°, γ = 90.00°
Atoms (fractional coordinates):
Tl: 0.3453 0.8452 0.6905
Tl: 0.6548 0.6548 0.3095
Tl: 0.6547 0.1548 0.3095
Tl: 0.3452 0.3452 0.6905
Pt: 0.0000 0.5000 0.0000
Pt: 0.0000 0.0000 0.0000
Pd: 0.1654 0.4154 0.3308
Pd: 0.8346 0.5846 0.6692
Pd: 0.5000 0.7500 0.0000
Pd: 0.8346 0.0846 0.6692
Pd: 0.1654 0.9154 0.3308
Pd: 0.5000 0.2500 0.0000

Properties
Energy of formation ... -0.136 eV/atom
Distance to the lowest polymorph of the same formula ... 0 meV/atom

8.
YSc3Pd6: relaxed, PBE.

a = 4.4565 Å, b = 8.4753 Å, c = 9.7005 Å
α = 98.64°, β = 90.00°, γ = 90.00°
Atoms (fractional coordinates):
Pd: 0.2500 0.4698 0.0981
Pd: 0.7500 0.1618 0.7299
Pd: 0.2500 0.2619 0.5214
Pd: 0.7500 0.7381 0.4786
Pd: 0.2500 0.0648 0.9214
Pd: 0.2500 0.6115 0.6854
Pd: 0.7500 0.5302 0.9019
Pd: 0.7500 0.9352 0.0786
Pd: 0.2500 0.1688 0.2118
Pd: 0.7500 0.3885 0.3146
Pd: 0.7500 0.8312 0.7882
Pd: 0.2500 0.8382 0.2701
Sc: 0.7500 0.2460 0.0410
Sc: 0.2500 0.7540 0.9590
Sc: 0.2500 0.3413 0.8147
Sc: 0.7500 0.6587 0.1853
Sc: 0.2500 0.5512 0.3933
Sc: 0.7500 0.4488 0.6067
Y: 0.2500 0.9371 0.6251
Y: 0.7500 0.0629 0.3749

Properties
Energy of formation ... -0.872 eV/atom

9.
TiSn2Au: relaxed, PBE.

a = 3.9289 Å, b = 4.5499 Å, c = 4.5499 Å
α = 90.00°, β = 90.00°, γ = 90.00°
Atoms (fractional coordinates):
Sn: 0.0000 0.0000 0.5000
Sn: 0.0000 0.5000 0.0000
Ti: 0.5000 0.0000 0.0000
Au: 0.5000 0.5000 0.5000

Properties
Energy of formation ... -0.151 eV/atom
Distance to the lowest polymorph of the same formula ... 0 meV/atom

10.
Tm5TlIn2Rh2: relaxed, PBE.

a = 3.6060 Å, b = 11.7640 Å, c = 11.7640 Å
α = 90.00°, β = 90.00°, γ = 90.00°
Atoms (fractional coordinates):
Tm: 0.5000 0.4229 0.2940
Tm: 0.5000 0.0771 0.7940
Tm: 0.5000 0.7060 0.4229
Tm: 0.5000 0.7940 0.9229
Tm: 0.5000 0.9229 0.2060
Tm: 0.5000 0.5771 0.7060
Tm: 0.5000 0.2060 0.0771
Tm: 0.5000 0.0000 0.5000
Tm: 0.5000 0.5000 0.0000
Tm: 0.5000 0.2940 0.5771
In: 0.0000 0.1734 0.3266
In: 0.0000 0.6734 0.1734
In: 0.0000 0.3266 0.8266
In: 0.0000 0.8266 0.6734
Rh: 0.0000 0.1305 0.6305
Rh: 0.0000 0.3695 0.1305
Rh: 0.0000 0.6305 0.8695
Rh: 0.0000 0.8695 0.3695
Tl: 0.0000 0.5000 0.5000
Tl: 0.0000 0.0000 0.0000

Properties
Energy of formation ... -0.568 eV/atom

11.
BeFeP: relaxed, PBE.

a = 5.7971 Å, b = 2.8022 Å, c = 7.4666 Å
α = 90.00°, β = 97.85°, γ = 90.00°
Atoms (fractional coordinates):
Be: 0.5134 0.5000 0.7326
Be: 0.9887 0.0000 0.4524
Be: 0.9887 0.5000 0.9524
Be: 0.5134 0.0000 0.2326
P: 0.8279 0.5000 0.2005
P: 0.8279 0.0000 0.7005
P: 0.3508 0.5000 0.0011
P: 0.3508 0.0000 0.5011
Fe: 0.2121 0.5000 0.2736
Fe: 0.2121 0.0000 0.7736
Fe: 0.6529 0.5000 0.4657
Fe: 0.6529 0.0000 0.9657

Properties
Energy of formation ... -0.347 eV/atom
Distance to the lowest polymorph of the same formula ... 55 meV/atom

12.
P2PdN: relaxed, PBE.

a = 5.0073 Å, b = 5.0073 Å, c = 5.9063 Å
α = 64.92°, β = 64.92°, γ = 90.00°
Atoms (fractional coordinates):
P: 0.1867 0.6250 0.2500
P: 0.8750 0.8133 0.7500
P: 0.5633 0.1250 0.2500
P: 0.3750 0.4367 0.7500
Pd: 0.0000 0.0000 0.0000
Pd: 0.7500 0.2500 0.5000
N: 0.5000 0.5000 0.0000
N: 0.2500 0.7500 0.5000

Properties
Formation energy without anion corrections ... 326 meV per atom

13.
ScPaPt: relaxed, PBE.

a = 4.7304 Å, b = 4.7304 Å, c = 4.7304 Å
α = 60.00°, β = 60.00°, γ = 60.00°
Last column: magnetic moment on the atom in μB.
Atoms (fractional coordinates):
Pa: 0.5000 0.5000 0.5000  0.54
Pt: 0.2500 0.2500 0.2500  -0.01
Sc: 0.0000 0.0000 0.0000  0.12

Properties
Energy of formation ... -0.417 eV/atom
Distance to the lowest polymorph of the same formula ... 148 meV/atom

14.
Tb5SmDyTm2: relaxed, PBE.

a = 5.5916 Å, b = 10.3181 Å, c = 10.5237 Å
α = 90.00°, β = 90.00°, γ = 105.72°
Atoms (fractional coordinates):
Tb: 0.4786 0.9572 0.7383
Tb: 0.3888 0.7775 0.0236
Tb: 0.7012 0.4023 0.2082
Tb: 0.9824 0.9649 0.5233
Tb: 0.0176 0.0351 0.0233
Tb: 0.5214 0.0428 0.2383
Tb: 0.6112 0.2225 0.5236
Tb: 0.2988 0.5977 0.7081
Tb: 0.2811 0.5622 0.3117
Tb: 0.7189 0.4378 0.8117
Tm: 0.8858 0.7716 0.8183
Tm: 0.8891 0.7782 0.2364
Tm: 0.1109 0.2218 0.7364
Tm: 0.1142 0.2284 0.3183
Sm: 0.4144 0.8289 0.4522
Sm: 0.5856 0.1711 0.9522
Dy: 0.1993 0.3986 0.0119
Dy: 0.8007 0.6014 0.5119

Properties
Energy of formation ... 0.158 eV/atom

15.
TbSm2Cd2In2: relaxed, PBE.

a = 4.9559 Å, b = 4.9559 Å, c = 9.5481 Å
α = 74.96°, β = 74.96°, γ = 60.00°
Atoms (fractional coordinates):
Cd: 0.3944 0.3944 0.8167
Cd: 0.6056 0.6056 0.1833
Tb: 0.0000 0.0000 0.0000
In: 0.7385 0.7385 0.7845
In: 0.2615 0.2615 0.2155
Sm: 0.8723 0.8723 0.3832
Sm: 0.1277 0.1277 0.6168

Properties
Energy of formation ... -0.271 eV/atom

16.
LaTb2Nd5: relaxed, PBE.

a = 5.1643 Å, b = 7.3236 Å, c = 14.6541 Å
α = 90.00°, β = 90.00°, γ = 90.00°
Atoms (fractional coordinates):
Tb: 0.5000 0.2509 0.1256
Tb: 0.5000 0.7491 0.8744
Tb: 0.5000 0.7509 0.3744
Tb: 0.5000 0.2491 0.6256
Nd: 0.0000 0.0018 0.2490
Nd: 0.0000 0.4982 0.7490
Nd: 0.5000 0.7489 0.6256
Nd: 0.5000 0.2489 0.8744
Nd: 0.0000 0.9982 0.7510
Nd: 0.0000 0.5018 0.2510
Nd: 0.5000 0.2511 0.3744
Nd: 0.0000 0.0000 0.0000
Nd: 0.5000 0.7511 0.1256
Nd: 0.0000 0.5000 0.5000
La: 0.0000 0.0000 0.5000
La: 0.0000 0.5000 0.0000

Properties
Energy of formation ... 0.014 eV/atom

17.
BaS: relaxed, PBE.

a = 9.6556 Å, b = 9.6556 Å, c = 9.6556 Å
α = 90.00°, β = 90.00°, γ = 90.00°
Atoms (fractional coordinates):
Ba: 0.3407 0.6593 0.6593
Ba: 0.1593 0.1593 0.8407
Ba: 0.3407 0.3407 0.3407
Ba: 0.1593 0.8407 0.1593
Ba: 0.8407 0.8407 0.8407
Ba: 0.6593 0.3407 0.6593
Ba: 0.6593 0.6593 0.3407
Ba: 0.8407 0.1593 0.1593
S: 0.8413 0.1587 0.8413
S: 0.3413 0.6587 0.3413
S: 0.6587 0.6587 0.6587
S: 0.3413 0.3413 0.6587
S: 0.8413 0.8413 0.1587
S: 0.1587 0.8413 0.8413
S: 0.6587 0.3413 0.3413
S: 0.1587 0.1587 0.1587

Properties
Formation energy without anion corrections ... -1793 meV per atom
Distance to the lowest polymorph of the same formula ... 288 meV/atom

| no. | DFT total energy (eV for the cell shown) | total magnetization (Bohr magnetons per cell) |
| --- | --- | --- |
| 1 | -17.6 | 0.000 |
| 2 | -24.1 | 0.000 |
| 3 | -26.6 | 0.000 |
| 4 | -17.8 | 3.338 |
| 5 | -126.5 | 6.702 |
| 6 | -31.9 | 3.350 |
| 7 | -54.3 | 0.000 |
| 8 | -130.7 | 0.000 |
| 9 | -19.8 | 0.008 |
| 10 | -101.2 | 0.000 |
| 11 | -74.6 | 0.003 |
| 12 | -46.1 | 0.000 |
| 13 | -23.1 | 0.812 |
| 14 | -80.0 | 0.000 |
| 15 | -23.3 | 0.000 |
| 16 | -75.8 | 0.000 |
| 17 | -77.1 | 0.000 |